[1]
Below is a geometry-optimized EuPa2Ga structure, with properties calculated at the GGA-PBE level.

Summary:
ρ, g/cm3: 11.235
Formation energy, eV/atom: 0.20
DOS(E_F), states/eV/cell: 7.1

Lattice parameters (Å, degrees): 3.171 3.171 11.747 82.24 82.24 60.00
Each line ends with the local moment (μB).
Atoms (fractional coordinates):
Eu 0.000 0.000 0.000  7.05
Pa 0.094 0.094 0.719  -0.27
Pa 0.906 0.906 0.281  -0.27
Ga 0.500 0.500 0.500  -0.01

[2]
Below is a geometry-optimized EuPaGa2 structure, with properties calculated at the GGA-PBE level.

Summary:
Energy relative to the lowest polymorph listed for this composition, meV per atom: 0
ρ, g/cm3: 9.284
Formation energy, eV/atom: -0.32
DOS(E_F), states/eV/cell: 4.1

Lattice parameters (Å, degrees): 3.315 3.315 8.501 90.00 90.00 90.00
Each line ends with the local moment (μB).
Atoms (fractional coordinates):
Eu 0.500 0.500 0.500  -6.85
Pa 0.500 0.500 0.000  0.10
Ga 0.000 0.000 0.761  0.00
Ga 0.000 0.000 0.239  0.00

[3]
Below is a geometry-optimized EuPaGa structure, with properties calculated at the GGA-PBE level.

Summary:
Energy relative to the lowest polymorph listed for this composition, meV per atom: 180
ρ, g/cm3: 10.879
Formation energy, eV/atom: 0.18
DOS(E_F), states/eV/cell: 5.6

Lattice parameters (Å, degrees): 3.023 5.137 5.137 120.00 90.00 90.00
Each line ends with the local moment (μB).
Atoms (fractional coordinates):
Eu 0.500 0.333 0.667  6.86
Pa 0.500 0.667 0.333  -0.08
Ga 0.000 0.000 0.000  -0.03

[4]
Below is a geometry-optimized EuPaGa2 structure, with properties calculated at the GGA-PBE level.

Summary:
Energy relative to the lowest polymorph listed for this composition, meV per atom: 129
ρ, g/cm3: 9.111
Formation energy, eV/atom: -0.19
DOS(E_F), states/eV/cell: 3.2

Lattice parameters (Å, degrees): 5.126 5.126 5.126 60.00 60.00 60.00
Each line ends with the local moment (μB).
Atoms (fractional coordinates):
Eu 0.500 0.500 0.500  6.75
Pa 0.000 0.000 0.000  -0.65
Ga 0.250 0.250 0.250  -0.04
Ga 0.750 0.750 0.750  -0.04

[5]
Below is a geometry-optimized EuPaGa structure, with properties calculated at the GGA-PBE level.

Summary:
Energy relative to the lowest polymorph listed for this composition, meV per atom: 0
ρ, g/cm3: 9.793
Formation energy, eV/atom: 0.00
DOS(E_F), states/eV/cell: 4.7

Lattice parameters (Å, degrees): 3.245 3.245 7.644 102.25 102.25 90.00
Each line ends with the local moment (μB).
Atoms (fractional coordinates):
Eu 0.017 0.017 0.034  6.91
Pa 0.312 0.312 0.625  0.65
Ga 0.670 0.670 0.341  -0.02

[6]
Below is a geometry-optimized EuPaGa2 structure, with properties calculated at the GGA-PBE level.

Summary:
Energy relative to the lowest polymorph listed for this composition, meV per atom: 445
ρ, g/cm3: 8.645
Formation energy, eV/atom: 0.12
DOS(E_F), states/eV/cell: 4.7

Lattice parameters (Å, degrees): 3.201 3.201 11.459 81.97 81.97 60.00
Each line ends with the local moment (μB).
Atoms (fractional coordinates):
Eu 0.000 0.000 0.000  -7.35
Pa 0.500 0.500 0.500  -0.07
Ga 0.090 0.090 0.729  0.00
Ga 0.910 0.910 0.271  0.00

[7]
Below is a geometry-optimized EuGaPb structure, with properties calculated at the GGA-PBE level.

Summary:
Energy relative to the lowest polymorph listed for this composition, meV per atom: 99
ρ, g/cm3: 8.547
Formation energy, eV/atom: -0.31
DOS(E_F), states/eV/cell: 5.4

Lattice parameters (Å, degrees): 3.770 3.770 6.441 107.02 107.02 90.00
Each line ends with the local moment (μB).
Atoms (fractional coordinates):
Pb 0.260 0.260 0.520  -0.01
Eu 0.960 0.960 0.919  6.92
Ga 0.631 0.631 0.261  0.01

[8]
Below is a geometry-optimized EuGaPb structure, with properties calculated at the GGA-PBE level.

Summary:
Energy relative to the lowest polymorph listed for this composition, meV per atom: 0
ρ, g/cm3: 8.249
Formation energy, eV/atom: -0.41
DOS(E_F), states/eV/cell: 9.9

Lattice parameters (Å, degrees): 4.603 4.654 4.654 120.00 90.00 90.00
Each line ends with the local moment (μB).
Atoms (fractional coordinates):
Pb 0.254 0.333 0.667  -0.01
Eu 0.693 0.667 0.333  6.83
Ga 0.053 0.000 0.000  -0.01

[9]
Below is a geometry-optimized Eu2GaPb structure, with properties calculated at the GGA-PBE level.

Summary:
ρ, g/cm3: 7.660
Formation energy, eV/atom: -0.31
DOS(E_F), states/eV/cell: 13.8

Lattice parameters (Å, degrees): 3.830 3.830 10.158 79.13 79.13 60.00
Each line ends with the local moment (μB).
Atoms (fractional coordinates):
Pb 0.500 0.500 0.500  -0.03
Eu 0.256 0.256 0.233  6.89
Eu 0.744 0.744 0.767  6.89
Ga 0.000 0.000 0.000  0.05

[10]
Below is a geometry-optimized Eu2GaPb structure, with properties calculated at the GGA-PBE level.

Summary:
ρ, g/cm3: 8.233
Formation energy, eV/atom: -0.49
DOS(E_F), states/eV/cell: 12.9

Lattice parameters (Å, degrees): 3.850 3.850 7.902 90.00 90.00 90.00
Each line ends with the local moment (μB).
Atoms (fractional coordinates):
Pb 0.500 0.500 0.500  0.00
Eu 0.000 0.000 0.772  6.86
Eu 0.000 0.000 0.228  6.86
Ga 0.500 0.500 0.000  0.03

[11]
Below is a geometry-optimized EuGaPb structure, with properties calculated at the GGA-PBE level.

Summary:
Energy relative to the lowest polymorph listed for this composition, meV per atom: 81
ρ, g/cm3: 7.844
Formation energy, eV/atom: -0.33
DOS(E_F), states/eV/cell: 2.2

Lattice parameters (Å, degrees): 5.045 5.045 5.045 60.00 60.00 60.00
Each line ends with the local moment (μB).
Atoms (fractional coordinates):
Pb 0.000 0.000 0.000  0.02
Eu 0.500 0.500 0.500  -6.83
Ga 0.250 0.250 0.250  0.00

[12]
Below is a geometry-optimized PrEuGaPb structure, with properties calculated at the GGA-PBE level.

Summary:
ρ, g/cm3: 8.116
Formation energy, eV/atom: -0.46
DOS(E_F), states/eV/cell: 7.9

Lattice parameters (Å, degrees): 5.483 5.483 5.483 60.00 60.00 60.00
Each line ends with the local moment (μB).
Atoms (fractional coordinates):
Pb 0.750 0.750 0.750  -0.02
Eu 0.000 0.000 0.000  6.85
Pr 0.500 0.500 0.500  0.08
Ga 0.250 0.250 0.250  -0.01

[13]
Below is a geometry-optimized SmEuGaPb structure, with properties calculated at the GGA-PBE level.

Summary:
ρ, g/cm3: 8.513
Formation energy, eV/atom: -0.46
DOS(E_F), states/eV/cell: 5.7

Lattice parameters (Å, degrees): 5.427 5.427 5.427 60.00 60.00 60.00
Each line ends with the local moment (μB).
Atoms (fractional coordinates):
Pb 0.250 0.250 0.250  -0.02
Eu 0.000 0.000 0.000  6.84
Ga 0.750 0.750 0.750  -0.01
Sm 0.500 0.500 0.500  0.09

[14]
Below is a geometry-optimized EuGaSnPb structure, with properties calculated at the GGA-PBE level.

Summary:
ρ, g/cm3: 8.008
Formation energy, eV/atom: -0.25
DOS(E_F), states/eV/cell: 1.9

Lattice parameters (Å, degrees): 5.435 5.435 5.435 60.00 60.00 60.00
Each line ends with the local moment (μB).
Atoms (fractional coordinates):
Pb 0.500 0.500 0.500  -0.01
Eu 0.000 0.000 0.000  6.84
Sn 0.250 0.250 0.250  0.03
Ga 0.750 0.750 0.750  0.01

[15]
Below is a geometry-optimized TbEuGaPb structure, with properties calculated at the GGA-PBE level.

Summary:
ρ, g/cm3: 8.833
Formation energy, eV/atom: -0.44
DOS(E_F), states/eV/cell: 2.1

Lattice parameters (Å, degrees): 5.386 5.386 5.386 60.00 60.00 60.00
Each line ends with the local moment (μB).
Atoms (fractional coordinates):
Pb 0.500 0.500 0.500  -0.02
Eu 0.250 0.250 0.250  6.82
Tb 0.750 0.750 0.750  0.09
Ga 0.000 0.000 0.000  -0.01

[16]
Below is a geometry-optimized Eu2GaPd structure, with properties calculated at the GGA-PBE level.

Summary:
ρ, g/cm3: 8.006
Formation energy, eV/atom: -0.55
DOS(E_F), states/eV/cell: 13.2

Lattice parameters (Å, degrees): 3.754 3.754 7.066 90.00 90.00 90.00
Each line ends with the local moment (μB).
Atoms (fractional coordinates):
Eu 0.000 0.000 0.755  6.81
Eu 0.000 0.000 0.245  6.81
Ga 0.500 0.500 0.500  0.00
Pd 0.500 0.500 0.000  -0.04

[17]
Below is a geometry-optimized Eu2GaPd structure, with properties calculated at the GGA-PBE level.

Summary:
ρ, g/cm3: 5.859
Formation energy, eV/atom: -0.10
DOS(E_F), states/eV/cell: 23.0

Lattice parameters (Å, degrees): 3.964 3.964 10.255 78.86 78.86 60.00
Each line ends with the local moment (μB).
Atoms (fractional coordinates):
Eu 0.106 0.106 0.682  6.88
Eu 0.894 0.894 0.318  6.88
Ga 0.000 0.000 0.000  0.06
Pd 0.500 0.500 0.500  -0.06

[18]
Below is a geometry-optimized EuGaPd structure, with properties calculated at the GGA-PBE level.

Summary:
ρ, g/cm3: 7.907
Formation energy, eV/atom: -0.71
DOS(E_F), states/eV/cell: 8.6

Lattice parameters (Å, degrees): 4.074 4.420 4.420 120.00 90.00 90.00
Each line ends with the local moment (μB).
Atoms (fractional coordinates):
Eu 0.667 0.333 0.667  6.77
Ga 0.167 0.667 0.333  0.02
Pd 0.167 0.000 0.000  -0.02

[19]
Below is a geometry-optimized EuGaPd4 structure, with properties calculated at the GGA-PBE level.

Summary:
ρ, g/cm3: 9.735
Formation energy, eV/atom: -0.50
DOS(E_F), states/eV/cell: 15.1

Lattice parameters (Å, degrees): 5.385 5.385 5.385 60.00 60.00 60.00
Each line ends with the local moment (μB).
Atoms (fractional coordinates):
Eu 0.250 0.250 0.250  6.68
Ga 0.000 0.000 0.000  0.01
Pd 0.626 0.626 0.123  -0.05
Pd 0.626 0.123 0.626  -0.05
Pd 0.626 0.626 0.626  -0.05
Pd 0.123 0.626 0.626  -0.05

[20]
Below is a geometry-optimized EuGa2Pd structure, with properties calculated at the GGA-PBE level.

Summary:
ρ, g/cm3: 8.354
Formation energy, eV/atom: -0.54
DOS(E_F), states/eV/cell: 1.7

Lattice parameters (Å, degrees): 3.321 3.321 7.169 90.00 90.00 90.00
Each line ends with the local moment (μB).
Atoms (fractional coordinates):
Eu 0.500 0.500 0.500  6.83
Ga 0.000 0.000 0.807  -0.02
Ga 0.000 0.000 0.193  -0.02
Pd 0.500 0.500 0.000  -0.01

[21]
Below is a geometry-optimized EuGaPd structure, with properties calculated at the GGA-PBE level.

Summary:
ρ, g/cm3: 8.549
Formation energy, eV/atom: -0.60
DOS(E_F), states/eV/cell: 5.8

Lattice parameters (Å, degrees): 3.430 3.430 5.936 106.79 106.79 90.00
Each line ends with the local moment (μB).
Atoms (fractional coordinates):
Eu 0.999 0.999 0.998  6.85
Pd 0.300 0.300 0.600  -0.01
Ga 0.701 0.701 0.402  -0.01

[22]
Below is a geometry-optimized EuGa2Pd structure, with properties calculated at the GGA-PBE level.

Summary:
ρ, g/cm3: 7.623
Formation energy, eV/atom: -0.62
DOS(E_F), states/eV/cell: 6.8

Lattice parameters (Å, degrees): 4.325 4.325 5.904 68.52 68.52 60.00
Each line ends with the local moment (μB).
Atoms (fractional coordinates):
Eu 0.500 0.500 0.500  6.86
Ga 0.290 0.290 0.129  0.04
Ga 0.710 0.710 0.871  0.04
Pd 0.000 0.000 0.000  0.03

[23]
Below is a geometry-optimized EuGa2Pd structure, with properties calculated at the GGA-PBE level.

Summary:
ρ, g/cm3: 8.585
Formation energy, eV/atom: -0.51
DOS(E_F), states/eV/cell: 5.7

Lattice parameters (Å, degrees): 4.774 4.774 4.774 60.00 60.00 60.00
Each line ends with the local moment (μB).
Atoms (fractional coordinates):
Eu 0.000 0.000 0.000  6.75
Ga 0.250 0.250 0.250  0.02
Ga 0.750 0.750 0.750  0.02
Pd 0.500 0.500 0.500  0.03

[24]
Below is a geometry-optimized EuGaSnPd structure, with properties calculated at the GGA-PBE level.

Summary:
ρ, g/cm3: 8.581
Formation energy, eV/atom: -0.52
DOS(E_F), states/eV/cell: 6.0

Lattice parameters (Å, degrees): 4.963 4.963 4.963 60.00 60.00 60.00
Each line ends with the local moment (μB).
Atoms (fractional coordinates):
Eu 0.000 0.000 0.000  6.75
Ga 0.250 0.250 0.250  0.01
Sn 0.500 0.500 0.500  -0.01
Pd 0.750 0.750 0.750  -0.02

[25]
Below is a geometry-optimized EuThGaPd structure, with properties calculated at the GGA-PBE level.

Summary:
ρ, g/cm3: 9.406
Formation energy, eV/atom: -0.49
DOS(E_F), states/eV/cell: 7.8

Lattice parameters (Å, degrees): 5.191 5.191 5.191 60.00 60.00 60.00
Each line ends with the local moment (μB).
Atoms (fractional coordinates):
Eu 0.000 0.000 0.000  6.78
Ga 0.250 0.250 0.250  -0.02
Pd 0.750 0.750 0.750  -0.01
Th 0.500 0.500 0.500  0.03

[26]
Below is a geometry-optimized EuTmGaPd structure, with properties calculated at the GGA-PBE level.

Summary:
ρ, g/cm3: 8.936
Formation energy, eV/atom: -0.58
DOS(E_F), states/eV/cell: 5.5

Lattice parameters (Å, degrees): 5.074 5.074 5.074 60.00 60.00 60.00
Each line ends with the local moment (μB).
Atoms (fractional coordinates):
Eu 0.000 0.000 0.000  6.74
Tm 0.500 0.500 0.500  -0.01
Ga 0.250 0.250 0.250  -0.02
Pd 0.750 0.750 0.750  -0.01

[27]
Below is a geometry-optimized EuZnGaPd structure, with properties calculated at the GGA-PBE level.

Summary:
ρ, g/cm3: 8.476
Formation energy, eV/atom: -0.41
DOS(E_F), states/eV/cell: 5.3

Lattice parameters (Å, degrees): 4.777 4.777 4.777 60.00 60.00 60.00
Each line ends with the local moment (μB).
Atoms (fractional coordinates):
Eu 0.500 0.500 0.500  6.71
Zn 0.750 0.750 0.750  0.00
Ga 0.250 0.250 0.250  0.00
Pd 0.000 0.000 0.000  -0.01

[28]
Below is a geometry-optimized PmEuGa structure, with properties calculated at the GGA-PBE level.

Summary:
Energy relative to the lowest polymorph listed for this composition, meV per atom: 124
ρ, g/cm3: 6.229
Formation energy, eV/atom: -0.19
DOS(E_F), states/eV/cell: 6.4

Lattice parameters (Å, degrees): 5.171 5.171 5.171 60.00 60.00 60.00
Each line ends with the local moment (μB).
Atoms (fractional coordinates):
Eu 0.500 0.500 0.500  6.86
Ga 0.250 0.250 0.250  -0.04
Pm 0.000 0.000 0.000  0.09

[29]
Below is a geometry-optimized PmEuGa structure, with properties calculated at the GGA-PBE level.

Summary:
Energy relative to the lowest polymorph listed for this composition, meV per atom: 93
ρ, g/cm3: 7.066
Formation energy, eV/atom: -0.23
DOS(E_F), states/eV/cell: 2.4

Lattice parameters (Å, degrees): 3.799 5.118 5.118 120.00 90.00 90.00
Each line ends with the local moment (μB).
Atoms (fractional coordinates):
Eu 0.970 0.000 0.000  6.84
Ga 0.635 0.667 0.333  -0.05
Pm 0.395 0.333 0.667  0.03

[30]
Below is a geometry-optimized PmEuGa2 structure, with properties calculated at the GGA-PBE level.

Summary:
ρ, g/cm3: 7.068
Formation energy, eV/atom: -0.51
DOS(E_F), states/eV/cell: 5.6

Lattice parameters (Å, degrees): 3.717 3.717 7.421 90.00 90.00 90.00
Each line ends with the local moment (μB).
Atoms (fractional coordinates):
Eu 0.500 0.500 0.500  6.85
Ga 0.000 0.000 0.762  0.00
Ga 0.000 0.000 0.238  0.00
Pm 0.500 0.500 0.000  0.02

[31]
Below is a geometry-optimized PmEuGa structure, with properties calculated at the GGA-PBE level.

Summary:
Energy relative to the lowest polymorph listed for this composition, meV per atom: 0
ρ, g/cm3: 6.724
Formation energy, eV/atom: -0.32
DOS(E_F), states/eV/cell: 3.1

Lattice parameters (Å, degrees): 3.749 3.749 6.966 105.61 105.61 90.00
Each line ends with the local moment (μB).
Atoms (fractional coordinates):
Eu 0.256 0.256 0.513  6.87
Ga 0.610 0.610 0.220  -0.01
Pm 0.984 0.984 0.968  0.05